No. 1
# Pr8Ru3SCl4, relaxed, DFT GGA-PBE
data_Pr8Ru3SCl4
_symmetry_space_group_name_H-M 'R -3 m'
_symmetry_Int_Tables_number 166
_symmetry_space_group_name_Hall '-R 3 2"'
_cell_length_a 8.2772
_cell_length_b 8.2772
_cell_length_c 22.6033
_cell_angle_alpha 90.00
_cell_angle_beta 90.00
_cell_angle_gamma 120.00
loop_
_atom_site_label
_atom_site_fract_x
_atom_site_fract_y
_atom_site_fract_z
Pr1 0.0000 0.0000 0.2373
Pr2 0.0121 0.5060 0.7653
Ru1 0.0000 0.5000 0.5000
S1 0.0000 0.0000 0.5000
Cl1 0.0000 0.0000 0.0000
Cl2 0.0000 0.5000 0.0000
# Total magnetic moment = 0.000 Bohr magnetons per cell
# Crystal system = trigonal
# Volume = 27.94 Å³ per atom
# Uncorrected energy = -5.926 eV/atom

***

No. 2
# Pr6Ru2SCl3, relaxed, DFT GGA-PBE
data_Pr6Ru2SCl3
_symmetry_space_group_name_H-M 'C 1 2/m 1'
_symmetry_Int_Tables_number 12
_cell_length_a 7.180
_cell_length_b 12.438
_cell_length_c 7.852
_cell_angle_alpha 90.00
_cell_angle_beta 107.69
_cell_angle_gamma 90.00
loop_
_symmetry_equiv_pos_as_xyz
'x,y,z'
'-x,-y,-z'
'-x,y,-z'
'x,-y,z'
'x+1/2,y+1/2,z'
'-x+1/2,-y+1/2,-z'
'-x+1/2,y+1/2,-z'
'x+1/2,-y+1/2,z'
loop_
_atom_site_label
_atom_site_fract_x
_atom_site_fract_y
_atom_site_fract_z
Pr1 0.221 0.000 0.208
Pr2 0.243 0.326 0.208
Ru1 0.000 0.167 0.000
S1 0.000 0.500 0.000
Cl1 0.000 0.000 0.500
Cl2 0.000 0.335 0.500
# Total magnetic moment = 0.000 Bohr magnetons per cell
# Crystal system = monoclinic
# Volume = 27.84 Å³ per atom
# Uncorrected energy = -5.917 eV/atom

***

No. 3
# Pr6Ru2SeCl3, relaxed, DFT GGA-PBE
data_Pr6Ru2SeCl3
_symmetry_space_group_name_H-M 'C 1 2/m 1'
_symmetry_Int_Tables_number 12
_cell_length_a 7.279
_cell_length_b 12.606
_cell_length_c 7.834
_cell_angle_alpha 90.00
_cell_angle_beta 107.96
_cell_angle_gamma 90.00
loop_
_symmetry_equiv_pos_as_xyz
'x,y,z'
'-x,-y,-z'
'-x,y,-z'
'x,-y,z'
'x+1/2,y+1/2,z'
'-x+1/2,-y+1/2,-z'
'-x+1/2,y+1/2,-z'
'x+1/2,-y+1/2,z'
loop_
_atom_site_label
_atom_site_fract_x
_atom_site_fract_y
_atom_site_fract_z
Pr1 0.213 0.000 0.210
Pr2 0.248 0.322 0.211
Ru1 0.000 0.167 0.000
Se1 0.000 0.500 0.000
Cl1 0.000 0.000 0.500
Cl2 0.000 0.336 0.500
# Total magnetic moment = 0.000 Bohr magnetons per cell
# Crystal system = monoclinic
# Volume = 28.49 Å³ per atom
# Uncorrected energy = -5.836 eV/atom

***

No. 4
# Pr4RuSe2Cl, relaxed, DFT GGA-PBE
data_Pr4RuSe2Cl
_symmetry_space_group_name_H-M 'P 1 2/m 1'
_symmetry_Int_Tables_number 10
_cell_length_a 7.408
_cell_length_b 4.136
_cell_length_c 7.479
_cell_angle_alpha 90.00
_cell_angle_beta 107.56
_cell_angle_gamma 90.00
loop_
_symmetry_equiv_pos_as_xyz
'x,y,z'
'-x,-y,-z'
'-x,y,-z'
'x,-y,z'
loop_
_atom_site_label
_atom_site_fract_x
_atom_site_fract_y
_atom_site_fract_z
Pr1 0.228 0.000 0.232
Pr2 0.229 0.500 0.755
Ru1 0.000 0.500 0.000
Se1 0.000 0.000 0.500
Se2 0.500 0.500 0.500
Cl1 0.500 0.000 0.000
# Total magnetic moment = 0.000 Bohr magnetons per cell
# Crystal system = monoclinic
# Volume = 27.31 Å³ per atom
# Uncorrected energy = -5.946 eV/atom

***

No. 5
# Pr3RuSeCl, relaxed, DFT GGA-PBE
data_Pr3RuSeCl
_symmetry_space_group_name_H-M 'P 1 21/m 1'
_symmetry_Int_Tables_number 11
_cell_length_a 7.870
_cell_length_b 4.193
_cell_length_c 10.430
_cell_angle_alpha 90.00
_cell_angle_beta 92.00
_cell_angle_gamma 90.00
loop_
_symmetry_equiv_pos_as_xyz
'x,y,z'
'-x,-y,-z'
'-x,y+1/2,-z'
'x,-y+1/2,z'
loop_
_atom_site_label
_atom_site_fract_x
_atom_site_fract_y
_atom_site_fract_z
Pr1 0.061 0.250 0.209
Pr2 0.239 0.750 0.501
Pr3 0.365 0.250 0.803
Ru1 0.082 0.250 0.652
Se1 0.425 0.250 0.321
Cl1 0.243 0.750 0.989
# Total magnetic moment = 0.000 Bohr magnetons per cell
# Crystal system = monoclinic
# Volume = 28.67 Å³ per atom
# Uncorrected energy = -5.988 eV/atom

***

No. 6
# Pr8SiRu3Cl4, relaxed, DFT GGA-PBE
data_Pr8SiRu3Cl4
_symmetry_space_group_name_H-M 'R -3 m'
_symmetry_Int_Tables_number 166
_symmetry_space_group_name_Hall '-R 3 2"'
_cell_length_a 8.3333
_cell_length_b 8.3333
_cell_length_c 22.5740
_cell_angle_alpha 90.00
_cell_angle_beta 90.00
_cell_angle_gamma 120.00
loop_
_atom_site_label
_atom_site_fract_x
_atom_site_fract_y
_atom_site_fract_z
Pr1 0.0000 0.0000 0.2389
Pr2 0.0119 0.5060 0.7656
Si1 0.0000 0.0000 0.5000
Ru1 0.0000 0.5000 0.5000
Cl1 0.0000 0.0000 0.0000
Cl2 0.0000 0.5000 0.0000
# Total magnetic moment = 0.000 Bohr magnetons per cell
# Crystal system = trigonal
# Volume = 28.28 Å³ per atom
# Uncorrected energy = -5.851 eV/atom

***

No. 7
# Pr6SnRu2Cl3, relaxed, DFT GGA-PBE
data_Pr6SnRu2Cl3
_symmetry_space_group_name_H-M 'C 1 2/m 1'
_symmetry_Int_Tables_number 12
_cell_length_a 7.345
_cell_length_b 12.805
_cell_length_c 7.944
_cell_angle_alpha 90.00
_cell_angle_beta 107.92
_cell_angle_gamma 90.00
loop_
_symmetry_equiv_pos_as_xyz
'x,y,z'
'-x,-y,-z'
'-x,y,-z'
'x,-y,z'
'x+1/2,y+1/2,z'
'-x+1/2,-y+1/2,-z'
'-x+1/2,y+1/2,-z'
'x+1/2,-y+1/2,z'
loop_
_atom_site_label
_atom_site_fract_x
_atom_site_fract_y
_atom_site_fract_z
Pr1 0.200 0.000 0.215
Pr2 0.245 0.186 0.787
Sn1 0.000 0.500 0.000
Ru1 0.000 0.166 0.000
Cl1 0.000 0.000 0.500
Cl2 0.000 0.331 0.500
# Total magnetic moment = 0.000 Bohr magnetons per cell
# Crystal system = monoclinic
# Volume = 29.62 Å³ per atom
# Uncorrected energy = -5.672 eV/atom

***

No. 8
# Pr3TeRuCl, relaxed, DFT GGA-PBE
data_Pr3TeRuCl
_symmetry_space_group_name_H-M 'P 1 21/m 1'
_symmetry_Int_Tables_number 11
_cell_length_a 8.795
_cell_length_b 4.373
_cell_length_c 9.541
_cell_angle_alpha 90.00
_cell_angle_beta 105.06
_cell_angle_gamma 90.00
loop_
_symmetry_equiv_pos_as_xyz
'x,y,z'
'-x,-y,-z'
'-x,y+1/2,-z'
'x,-y+1/2,z'
loop_
_atom_site_label
_atom_site_fract_x
_atom_site_fract_y
_atom_site_fract_z
Pr1 0.075 0.250 0.314
Pr2 0.229 0.250 0.967
Pr3 0.315 0.750 0.611
Te1 0.353 0.750 0.275
Ru1 0.098 0.250 0.615
Cl1 0.403 0.750 0.910
# Total magnetic moment = 0.000 Bohr magnetons per cell
# Crystal system = monoclinic
# Volume = 29.53 Å³ per atom
# Uncorrected energy = -5.686 eV/atom

***

Number 1: formation energy from raw total energies -1663 kJ/mol of formula units. Number 2: formation energy from raw total energies -1362 kJ/mol of formula units. Number 3: formation energy from raw total energies -1329 kJ/mol of formula units. Number 4: formation energy from raw total energies -999 kJ/mol of formula units. Number 5: formation energy from raw total energies -674 kJ/mol of formula units. Number 6: formation energy from raw total energies -1422 kJ/mol of formula units. Number 7: formation energy from raw total energies -1089 kJ/mol of formula units. Number 8: formation energy from raw total energies -532 kJ/mol of formula units.